No. 1
The following is a PBE calculation of an optimized crystal structure of CaAlCr2, from Alexandria via LeMat-Bulk.

Results
calculated volume	148.5	Å³ per cell
energy	-5.909	eV per atom
formation energy from the elements	1.35	eV/f.u.
total magnetic moment	0.58	μB per cell

abc: 4.7242 4.7242 6.6542
angles: 90.00 90.00 90.00
With the nearest neighbours (Å) after each atom.
Space group I-4m2 (No. 119)
Inequivalent atoms, fractional coordinates:
Ca 0.0000 0.0000 0.0000  4 Cr 2.89, 4 Al 2.89
Al 0.0000 0.5000 0.7500  4 Ca 2.89, 4 Cr 2.89
Cr 0.0000 0.0000 0.5000  4 Cr 2.89, 4 Al 2.89
Cr 0.0000 0.5000 0.2500  4 Cr 2.89, 4 Ca 2.89

=====

No. 2
The following is a PBE calculation of an optimized crystal structure of CaAl2Cr, from Alexandria via LeMat-Bulk.

Results
calculated volume	80.1	Å³ per cell
energy	-4.614	eV per atom
formation energy from the elements	0.65	eV/f.u.
total magnetic moment	3.50	μB per cell

abc: 3.2685 3.2685 7.4979
angles: 90.00 90.00 90.00
With the nearest neighbours (Å) after each atom.
Space group P4mm (No. 99)
Inequivalent atoms, fractional coordinates:
Ca 0.0000 0.0000 0.0000  4 Cr 3.26, 4 Ca 3.27, 5 Al 3.28-3.58
Al 0.0000 0.0000 0.4777  4 Cr 2.64, 4 Al 2.81
Al 0.5000 0.5000 0.6903  4 Al 2.81, 1 Cr 2.88
Cr 0.5000 0.5000 0.3064  5 Al 2.64-2.88

=====

No. 3
The following is a PBE calculation of an optimized crystal structure of Ca2AlCr, from Alexandria via LeMat-Bulk.

Results
calculated volume	221.8	Å³ per cell
energy	-4.129	eV per atom
formation energy from the elements	0.85	eV/f.u.
total magnetic moment	8.40	μB per cell

abc: 4.7483 3.8863 12.0172
angles: 90.00 90.00 90.00
With the nearest neighbours (Å) after each atom.
Space group Amm2 (No. 38)
Inequivalent atoms, fractional coordinates:
Ca 0.0000 0.0000 0.0000  3 Al 3.21-3.46, 4 Cr 3.29
Ca 0.5000 0.0000 0.3070  3 Cr 3.17-3.51, 4 Al 3.27
Al 0.0000 0.0000 0.7122  2 Cr 2.74
Cr 0.5000 0.0000 0.5988  2 Al 2.74

=====

No. 4
The following is a PBE calculation of an optimized crystal structure of Ca2AlCr, from Alexandria via LeMat-Bulk.

Results
calculated volume	216.6	Å³ per cell
energy	-3.888	eV per atom
formation energy from the elements	1.82	eV/f.u.
total magnetic moment	8.66	μB per cell

abc: 10.3015 3.4234 6.2185
angles: 90.00 98.94 90.00
With the nearest neighbours (Å) after each atom.
Space group C2/m (No. 12)
Inequivalent atoms, fractional coordinates:
Ca 0.2456 0.0000 0.2434  3 Cr 3.19-3.32, 3 Al 3.22-3.23, 4 Ca 3.42-3.49
Al 0.0000 0.5000 0.0000  6 Ca 3.22-3.23, 2 Al 3.42, 4 Cr 3.55
Cr 0.0000 0.0000 0.5000  6 Ca 3.19-3.32, 2 Cr 3.42, 4 Al 3.55

=====

No. 5
The following is a PBE calculation of an optimized crystal structure of CaAl2Cr, from Alexandria via LeMat-Bulk.

Results
calculated volume	155.9	Å³ per cell
energy	-4.566	eV per atom
formation energy from the elements	0.84	eV/f.u.
total magnetic moment	6.63	μB per cell

abc: 5.8634 8.8655 2.9999
angles: 90.00 90.23 90.00
With the nearest neighbours (Å) after each atom.
Space group C2/m (No. 12)
Inequivalent atoms, fractional coordinates:
Ca 0.0000 0.0000 0.0000  2 Cr 2.93, 2 Ca 3.00, 8 Al 3.05
Al 0.2500 0.2500 0.5000  4 Al 2.93-3.00, 4 Cr 3.05, 4 Ca 3.05
Cr 0.0000 0.5000 0.0000  2 Ca 2.93, 2 Cr 3.00, 8 Al 3.05

=====

No. 6
The following is a PBE calculation of an optimized crystal structure of CaAlCr2, from Alexandria via LeMat-Bulk.

Results
calculated volume	73.0	Å³ per cell
energy	-5.887	eV per atom
formation energy from the elements	1.44	eV/f.u.
total magnetic moment	0.00	μB per cell

abc: 3.3783 3.3783 6.3989
angles: 90.00 90.00 90.00
With the nearest neighbours (Å) after each atom.
Space group P4/mmm (No. 123)
Inequivalent atoms, fractional coordinates:
Ca 0.0000 0.0000 0.0000  2 Al 3.20, 8 Cr 3.26, 4 Ca 3.38
Al 0.0000 0.0000 0.5000  8 Cr 2.58
Cr 0.5000 0.5000 0.3472  1 Cr 1.96

=====

No. 7
The following is a PBE calculation of an optimized crystal structure of CaAlCr2, from Alexandria via LeMat-Bulk.

Results
calculated volume	208.5	Å³ per cell
energy	-5.723	eV per atom
formation energy from the elements	2.10	eV/f.u.
total magnetic moment	0.00	μB per cell

abc: 2.9963 2.9963 26.8146
angles: 90.00 90.00 120.00
With the nearest neighbours (Å) after each atom.
Space group R3m (No. 160, hexagonal axes)
Inequivalent atoms, fractional coordinates:
Ca 0.0000 0.0000 0.0000  6 Ca 3.00, 3 Cr 3.16, 3 Al 3.19
Al 0.0000 0.0000 0.2333  3 Cr 2.75, 6 Al 3.00
Cr 0.0000 0.0000 0.4870  3 Cr 2.27
Cr 0.0000 0.0000 0.7655  3 Cr 2.27

=====

No. 8
The following is a PBE calculation of an optimized crystal structure of Ca2AlCr, from Alexandria via LeMat-Bulk.

Results
calculated volume	105.5	Å³ per cell
energy	-4.080	eV per atom
formation energy from the elements	1.05	eV/f.u.
total magnetic moment	4.59	μB per cell

abc: 3.7285 3.7895 7.4668
angles: 90.00 90.00 90.00
With the nearest neighbours (Å) after each atom.
Space group Pmmm (No. 47)
Inequivalent atoms, fractional coordinates:
Ca 0.0000 0.0000 0.2438  4 Al 3.22, 4 Cr 3.27
Al 0.5000 0.5000 0.0000  8 Ca 3.22
Cr 0.5000 0.5000 0.5000  8 Ca 3.27

=====

No. 9
The following is a PBE calculation of an optimized crystal structure of Ca2AlCr, from Alexandria via LeMat-Bulk.

Results
calculated volume	104.0	Å³ per cell
energy	-4.105	eV per atom
formation energy from the elements	0.95	eV/f.u.
total magnetic moment	4.35	μB per cell

abc: 5.2484 5.2484 3.7754
angles: 90.00 90.00 90.00
With the nearest neighbours (Å) after each atom.
Space group P4/mmm (No. 123)
Inequivalent atoms, fractional coordinates:
Ca 0.0000 0.5000 0.0000  4 Cr 3.23, 4 Al 3.23
Al 0.0000 0.0000 0.5000  8 Ca 3.23
Cr 0.5000 0.5000 0.5000  8 Ca 3.23

=====

No. 10
The following is a PBE calculation of an optimized crystal structure of Ca2AlCr, from Alexandria via LeMat-Bulk.

Results
calculated volume	192.1	Å³ per cell
energy	-4.137	eV per atom
formation energy from the elements	0.82	eV/f.u.
total magnetic moment	9.48	μB per cell

abc: 5.1359 5.1359 7.2808
angles: 90.00 90.00 90.00
With the nearest neighbours (Å) after each atom.
Space group I-4m2 (No. 119)
Inequivalent atoms, fractional coordinates:
Ca 0.0000 0.0000 0.0000  4 Cr 3.15, 4 Ca 3.15
Ca 0.0000 0.5000 0.2500  4 Ca 3.15, 4 Al 3.15
Al 0.0000 0.0000 0.5000  4 Cr 3.15, 4 Ca 3.15
Cr 0.0000 0.5000 0.7500  4 Ca 3.15, 4 Al 3.15

=====

No. 11
The following is a PBE calculation of an optimized crystal structure of Ca4Al51Cr7, from Alexandria via LeMat-Bulk.

Results
calculated volume	1044.0	Å³ per cell
energy	-4.466	eV per atom
formation energy from the elements	-10.68	eV/f.u.
total magnetic moment	0.00	μB per cell

abc: 10.2260 10.2260 11.5280
angles: 90.00 90.00 120.00
With the nearest neighbours (Å) after each atom.
Space group P-3m1 (No. 164)
Inequivalent atoms, fractional coordinates:
Ca 0.3333 0.6667 0.0968  15 Al 3.16-3.23
Ca 0.3333 0.6667 0.4154  15 Al 3.15-3.43
Al 0.0000 0.3587 0.5000  2 Cr 2.58, 5 Al 2.66-2.89
Al 0.0000 0.5000 0.0000  12 Al 3.05-3.21, 2 Ca 3.16
Al 0.0676 0.3979 0.2460  1 Cr 2.63, 6 Al 2.69-2.90
Al 0.0907 0.1814 0.8288  2 Cr 2.42-2.54, 1 Al 2.71
Al 0.0910 0.1819 0.3944  2 Cr 2.66, 8 Al 2.70-2.92
Al 0.1542 0.3085 0.0443  8 Al 2.67-2.92, 1 Cr 2.78
Al 0.1556 0.5778 0.6519  2 Cr 2.52, 6 Al 2.66-2.73
Al 0.2423 0.4847 0.8564  1 Cr 2.64, 6 Al 2.67-2.84
Cr 0.0000 0.0000 0.0000  12 Al 2.54-2.78
Cr 0.1691 0.3382 0.6570  10 Al 2.42-2.66

=====

No. 12
The following is a PBE calculation of an optimized crystal structure of CaAl2Cr, from Alexandria via LeMat-Bulk.

Results
calculated volume	241.3	Å³ per cell
energy	-4.484	eV per atom
formation energy from the elements	1.17	eV/f.u.
total magnetic moment	8.14	μB per cell

abc: 3.1883 3.1883 27.4080
angles: 90.00 90.00 120.00
With the nearest neighbours (Å) after each atom.
Space group R-3m (No. 166, hexagonal axes)
Inequivalent atoms, fractional coordinates:
Ca 0.0000 0.0000 0.0000  6 Ca 3.19, 6 Al 3.21
Al 0.0000 0.0000 0.2375  3 Cr 2.68
Cr 0.0000 0.0000 0.5000  6 Al 2.68

=====

No. 13
The following is a PBE calculation of an optimized crystal structure of CaAlCr2, from Alexandria via LeMat-Bulk.

Results
calculated volume	152.7	Å³ per cell
energy	-5.682	eV per atom
formation energy from the elements	2.26	eV/f.u.
total magnetic moment	11.81	μB per cell

abc: 9.0318 3.0336 5.6524
angles: 90.00 99.70 90.00
With the nearest neighbours (Å) after each atom.
Space group C2/m (No. 12)
Inequivalent atoms, fractional coordinates:
Ca 0.0000 0.0000 0.0000  6 Cr 2.99-3.14, 2 Ca 3.03, 4 Al 3.21
Al 0.0000 0.5000 0.5000  6 Cr 2.66-2.77
Cr 0.2334 0.0000 0.6819  2 Cr 2.61, 3 Al 2.66-2.77

=====

No. 14
The following is a PBE calculation of an optimized crystal structure of Ca2AlCr, from Alexandria via LeMat-Bulk.

Results
calculated volume	210.3	Å³ per cell
energy	-4.120	eV per atom
formation energy from the elements	0.89	eV/f.u.
total magnetic moment	8.26	μB per cell

abc: 3.7696 5.2924 10.5409
angles: 90.00 90.00 90.00
With the nearest neighbours (Å) after each atom.
Space group Imm2 (No. 44)
Inequivalent atoms, fractional coordinates:
Ca 0.0000 0.0000 0.0000  4 Al 3.29, 4 Cr 3.44-3.57, 4 Ca 3.45-3.59
Ca 0.0000 0.5000 0.2101  4 Cr 3.32, 4 Al 3.33-3.66, 4 Ca 3.45-3.59
Al 0.0000 0.0000 0.4496  2 Cr 2.65
Cr 0.0000 0.5000 0.7734  2 Al 2.65

=====

No. 15
The following is a PBE calculation of an optimized crystal structure of CaAl2Cr, from Alexandria via LeMat-Bulk.

Results
calculated volume	425.0	Å³ per cell
energy	-4.324	eV per atom
formation energy from the elements	1.81	eV/f.u.
total magnetic moment	15.74	μB per cell

abc: 4.8159 4.8159 18.3227
angles: 90.00 90.00 90.00
With the nearest neighbours (Å) after each atom.
Space group I-42d (No. 122)
Inequivalent atoms, fractional coordinates:
Ca 0.0000 0.0000 0.0000  4 Al 3.26, 4 Cr 3.41
Al 0.0884 0.2500 0.6250  2 Al 2.55, 2 Cr 2.62
Cr 0.0000 0.0000 0.5000  4 Al 2.62

=====

No. 16
The following is a PBE calculation of an optimized crystal structure of CaAlCr2, from Alexandria via LeMat-Bulk.

Results
calculated volume	127.7	Å³ per cell
energy	-5.424	eV per atom
formation energy from the elements	3.29	eV/f.u.
total magnetic moment	0.00	μB per cell

abc: 5.4982 8.9458 2.5961
angles: 90.00 90.00 90.00
With the nearest neighbours (Å) after each atom.
Space group Cmmm (No. 65)
Inequivalent atoms, fractional coordinates:
Ca 0.0000 0.0000 0.0000  2 Ca 2.60, 2 Al 2.75
Al 0.0000 0.5000 0.0000  2 Al 2.60, 2 Ca 2.75
Cr 0.2500 0.2500 0.5000  4 Cr 2.60-2.75

=====

No. 17
The following is a PBE calculation of an optimized crystal structure of CaAl2Cr, from Alexandria via LeMat-Bulk.

Results
calculated volume	75.0	Å³ per cell
energy	-4.832	eV per atom
formation energy from the elements	-0.22	eV/f.u.
total magnetic moment	2.60	μB per cell

abc: 3.1573 3.1573 7.5190
angles: 90.00 90.00 90.00
With the nearest neighbours (Å) after each atom.
Space group P4/mmm (No. 123)
Inequivalent atoms, fractional coordinates:
Ca 0.0000 0.0000 0.0000  4 Ca 3.16, 8 Al 3.22
Al 0.5000 0.5000 0.3087  4 Cr 2.66, 1 Al 2.88
Cr 0.0000 0.0000 0.5000  8 Al 2.66

=====

No. 18
The following is a PBE calculation of an optimized crystal structure of CaAl20Cr2, from Alexandria via LeMat-Bulk.

Results
calculated volume	3019.1	Å³ per cell
energy	-4.301	eV per atom
formation energy from the elements	-2.81	eV/f.u.
total magnetic moment	11.44	μB per cell

abc: 14.4531 14.4531 14.4531
angles: 90.00 90.00 90.00
With the nearest neighbours (Å) after each atom.
Space group Fd-3m (No. 227, origin choice 2)
Inequivalent atoms, fractional coordinates:
Ca 0.1250 0.1250 0.1250  16 Al 3.13-3.21
Al 0.0000 0.0000 0.0000  12 Al 3.10, 2 Ca 3.13
Al 0.0124 0.3750 0.8750  2 Cr 2.56, 10 Al 2.70-2.82
Al 0.0583 0.0583 0.3262  8 Al 2.70-2.90, 1 Cr 2.78
Cr 0.0000 0.0000 0.5000  12 Al 2.56-2.78

=====

No. 19
The following is a PBE calculation of an optimized crystal structure of CaAl2Cr, from Alexandria via LeMat-Bulk.

Results
calculated volume	78.6	Å³ per cell
energy	-4.629	eV per atom
formation energy from the elements	0.60	eV/f.u.
total magnetic moment	3.46	μB per cell

abc: 4.1969 4.1969 4.4635
angles: 90.00 90.00 90.00
With the nearest neighbours (Å) after each atom.
Space group P4/mmm (No. 123)
Inequivalent atoms, fractional coordinates:
Ca 0.0000 0.0000 0.0000  4 Cr 2.97, 8 Al 3.06
Al 0.0000 0.5000 0.5000  4 Al 2.97, 4 Cr 3.06, 4 Ca 3.06
Cr 0.5000 0.5000 0.0000  4 Ca 2.97, 8 Al 3.06

=====

No. 20
The following is a PBE calculation of an optimized crystal structure of Ca4AlCr, from Alexandria via LeMat-Bulk.

Results
calculated volume	792.9	Å³ per cell
energy	-2.857	eV per atom
formation energy from the elements	4.23	eV/f.u.
total magnetic moment	16.81	μB per cell

abc: 9.2556 9.2556 9.2556
angles: 90.00 90.00 90.00
With the nearest neighbours (Å) after each atom.
Space group F-43m (No. 216)
Inequivalent atoms, fractional coordinates:
Ca 0.1252 0.1252 0.1252  6 Ca 3.27-3.28
Al 0.0000 0.0000 0.5000  12 Ca 3.84, 4 Cr 4.01
Cr 0.2500 0.2500 0.7500  12 Ca 3.84, 4 Al 4.01